Here is crystalline CrSi2 at its relaxed geometry from the Alexandria database. Energies are from GGA-PBEsol.

Properties
**Final energy**: -23.18 eV per cell
**Raw formation energy**: -482 meV per atom

Cell: 3.0511 3.0511 4.3165 Å, 110.70 110.70 90.00°
Sites, in units of the cell vectors:
Cr  0.0000  0.0000  0.0000
Si  0.3372  0.3372  0.6743
Si  0.6628  0.6628  0.3257